# 1
Material: LaTlHg2
Method: DFT, GGA-PBEsol
State: relaxed

Cell and atoms, written as extended XYZ:
```
4
Lattice="5.2518 0.0000 0.0000 -2.6259 4.5193 0.1791 0.0000 2.8774 4.3933" Properties=species:S:1:pos:R:3 pbc="T T T"
Hg 0.0000 2.9790 1.1879
Hg 2.6259 4.4177 3.3845
Tl 0.0000 0.0000 0.0000
La 2.6259 1.4387 2.1967
```

Values from the calculation:
formation energy from the elements: -1.9 eV per formula unit
space-group type: I4/mmm, No. 139
DOS(E_F): 1.6 states/eV per cell
electronic total energy: -2.760 eV/atom
calculated volume: 25.4 Å³/atom

***

# 2
Material: LaTl2Hg
Method: DFT, GGA-PBEsol
State: relaxed

Cell and atoms, written as extended XYZ:
```
4
Lattice="5.3166 0.0000 0.0000 2.6583 4.6043 0.0000 2.6583 1.5348 4.3410" Properties=species:S:1:pos:R:3 pbc="T T T"
Tl 7.9748 4.6043 3.2557
Hg 5.3166 3.0695 2.1705
La 2.6583 1.5348 1.0852
Tl 0.0000 0.0000 0.0000
```

Values from the calculation:
formation energy from the elements: -1.5 eV per formula unit
space-group type: F-43m, No. 216
DOS(E_F): 1.9 states/eV per cell
electronic total energy: -3.162 eV/atom
calculated volume: 26.6 Å³/atom

***

# 3
Material: LaTlHg
Method: DFT, GGA-PBEsol
State: relaxed

Cell and atoms, written as extended XYZ:
```
3
Lattice="-2.0353 -0.5429 -2.8854 -3.6188 -1.9858 2.9263 0.0353 4.9679 -0.9597" Properties=species:S:1:pos:R:3 pbc="T T T"
La -2.5396 2.2881 -1.5880
Tl -2.7661 0.2347 1.1131
Hg -0.3131 -0.0835 -0.4438
```

Values from the calculation:
formation energy from the elements: -1.4 eV per formula unit
space-group type: P3m1, No. 156
DOS(E_F): 2.3 states/eV per cell
electronic total energy: -3.323 eV/atom
calculated volume: 26.4 Å³/atom